1.
This record from the Alexandria database describes Cu3SbSe3 at its PBEsol-relaxed geometry. The functional is SCAN.

* theoretical density: 6.56 g/cm³
* formation energy without anion corrections: -0.94 eV/f.u.
* space group: Pnma

Cell and atoms, written as CIF:
```
data_Cu3SbSe3
_symmetry_space_group_name_H-M 'P 1'
_symmetry_Int_Tables_number 1
_symmetry_space_group_name_Hall 'P 1'
_cell_length_a 7.9342
_cell_length_b 10.4976
_cell_length_c 6.6729
_cell_angle_alpha 90.00
_cell_angle_beta 90.00
_cell_angle_gamma 90.00
loop_
_atom_site_label
_atom_site_fract_x
_atom_site_fract_y
_atom_site_fract_z
_atom_site_occupancy
Cu1 0.1046 0.0523 0.2299 1
Cu2 0.1046 0.4477 0.2299 1
Cu3 0.2030 0.2500 0.0460 1
Cu4 0.2970 0.7500 0.5460 1
Cu5 0.3954 0.5523 0.7299 1
Cu6 0.3954 0.9477 0.7299 1
Cu7 0.6046 0.0523 0.2701 1
Cu8 0.6046 0.4477 0.2701 1
Cu9 0.7030 0.2500 0.4540 1
Cu10 0.7970 0.7500 0.9540 1
Cu11 0.8954 0.5523 0.7701 1
Cu12 0.8954 0.9477 0.7701 1
Sb1 0.2471 0.7500 0.1133 1
Sb2 0.2529 0.2500 0.6133 1
Sb3 0.7471 0.7500 0.3867 1
Sb4 0.7529 0.2500 0.8867 1
Se1 0.0021 0.2500 0.3583 1
Se2 0.1548 0.0566 0.8472 1
Se3 0.1548 0.4434 0.8472 1
Se4 0.3452 0.5566 0.3472 1
Se5 0.3452 0.9434 0.3472 1
Se6 0.4979 0.7500 0.8583 1
Se7 0.5021 0.2500 0.1417 1
Se8 0.6548 0.0566 0.6528 1
Se9 0.6548 0.4434 0.6528 1
Se10 0.8452 0.5566 0.1528 1
Se11 0.8452 0.9434 0.1528 1
Se12 0.9979 0.7500 0.6417 1
```


2.
This record from the Alexandria database describes CuSb2Se at its PBEsol-relaxed geometry. The functional is SCAN.

* theoretical density: 7.43 g/cm³
* formation energy without anion corrections: 0.14 eV/f.u.
* space group: Amm2

Cell and atoms, written as CIF:
```
data_CuSb2Se
_symmetry_space_group_name_H-M 'P 1'
_symmetry_Int_Tables_number 1
_symmetry_space_group_name_Hall 'P 1'
_cell_length_a 3.6461
_cell_length_b 5.1480
_cell_length_c 5.1480
_cell_angle_alpha 63.27
_cell_angle_beta 90.00
_cell_angle_gamma 90.00
loop_
_atom_site_label
_atom_site_fract_x
_atom_site_fract_y
_atom_site_fract_z
_atom_site_occupancy
Cu1 0.0000 0.0000 0.0000 1
Sb1 0.0000 0.4911 0.4911 1
Sb2 0.5000 0.7764 0.7764 1
Se1 0.5000 0.1890 0.1890 1
```


3.
This record from the Alexandria database describes Cu2SbSe at its PBEsol-relaxed geometry. The functional is SCAN.

* theoretical density: 7.99 g/cm³
* formation energy without anion corrections: 1.83 eV/f.u.
* space group: Fm-3m

Cell and atoms, written as CIF:
```
data_Cu2SbSe
_symmetry_space_group_name_H-M 'P 1'
_symmetry_Int_Tables_number 1
_symmetry_space_group_name_Hall 'P 1'
_cell_length_a 4.5844
_cell_length_b 4.5844
_cell_length_c 4.5844
_cell_angle_alpha 60.00
_cell_angle_beta 60.00
_cell_angle_gamma 60.00
loop_
_atom_site_label
_atom_site_fract_x
_atom_site_fract_y
_atom_site_fract_z
_atom_site_occupancy
Cu1 0.2500 0.2500 0.2500 1
Cu2 0.7500 0.7500 0.7500 1
Sb1 0.0000 0.0000 0.0000 1
Se1 0.5000 0.5000 0.5000 1
```


4.
This record from the Alexandria database describes Cu2SbSe at its PBEsol-relaxed geometry. The functional is SCAN.

* theoretical density: 7.45 g/cm³
* formation energy without anion corrections: 0.12 eV/f.u.
* space group: Cm

Cell and atoms, written as CIF:
```
data_Cu2SbSe
_symmetry_space_group_name_H-M 'P 1'
_symmetry_Int_Tables_number 1
_symmetry_space_group_name_Hall 'P 1'
_cell_length_a 4.1732
_cell_length_b 4.1732
_cell_length_c 5.8243
_cell_angle_alpha 109.27
_cell_angle_beta 109.27
_cell_angle_gamma 50.66
loop_
_atom_site_label
_atom_site_fract_x
_atom_site_fract_y
_atom_site_fract_z
_atom_site_occupancy
Cu1 0.0000 0.0000 0.0000 1
Cu2 0.2444 0.2444 0.8270 1
Sb1 0.4769 0.4769 0.6041 1
Se1 0.7668 0.7668 0.1848 1
```


5.
This record from the Alexandria database describes Zr2CuSbSe at its PBEsol-relaxed geometry. The functional is SCAN.

* theoretical density: 5.08 g/cm³
* formation energy without anion corrections: 5.47 eV/f.u.
* space group: P4/mmm

Cell and atoms, written as CIF:
```
data_Zr2CuSbSe
_symmetry_space_group_name_H-M 'P 1'
_symmetry_Int_Tables_number 1
_symmetry_space_group_name_Hall 'P 1'
_cell_length_a 5.3098
_cell_length_b 5.3098
_cell_length_c 5.1827
_cell_angle_alpha 90.00
_cell_angle_beta 90.00
_cell_angle_gamma 90.00
loop_
_atom_site_label
_atom_site_fract_x
_atom_site_fract_y
_atom_site_fract_z
_atom_site_occupancy
Zr1 0.0000 0.5000 0.0000 1
Zr2 0.5000 0.0000 0.0000 1
Cu1 0.0000 0.0000 0.5000 1
Sb1 0.5000 0.5000 0.0000 1
Se1 0.5000 0.5000 0.5000 1
```


6.
This record from the Alexandria database describes Cu2SiSb at its PBEsol-relaxed geometry. The functional is SCAN.

* theoretical density: 7.18 g/cm³
* formation energy without anion corrections: 1.18 eV/f.u.
* space group: P4mm
* excess energy over the best structure of this formula in the dataset: 0.000 eV per atom

Cell and atoms, written as CIF:
```
data_Cu2SiSb
_symmetry_space_group_name_H-M 'P 1'
_symmetry_Int_Tables_number 1
_symmetry_space_group_name_Hall 'P 1'
_cell_length_a 3.0117
_cell_length_b 3.0117
_cell_length_c 7.0652
_cell_angle_alpha 90.00
_cell_angle_beta 90.00
_cell_angle_gamma 90.00
loop_
_atom_site_label
_atom_site_fract_x
_atom_site_fract_y
_atom_site_fract_z
_atom_site_occupancy
Cu1 0.0000 0.0000 0.0000 1
Cu2 0.5000 0.5000 0.1918 1
Si1 0.5000 0.5000 0.8237 1
Sb1 0.0000 0.0000 0.4548 1
```